# 1
Material: Mn2ReP
Method: DFT, GGA-PBE
State: relaxed

Output
total magnetization: 4.90 Bohr magnetons per cell
ΔH_f (0 K): 7 kJ/mol of formula units
crystal system: tetragonal
total DFT energy (no corrections): -36.12 eV for the cell shown

Lattice parameters (Å, degrees): 3.616 3.616 3.858 90.00 90.00 90.00
Space group P4/mmm (No. 123)
Asymmetric unit:
Mn 0.000 0.500 0.000 (multiplicity 2)
Re 0.000 0.000 0.500 (multiplicity 1)
P 0.500 0.500 0.500 (multiplicity 1)



# 2
Material: MnReP
Method: DFT, GGA-PBE
State: relaxed

Output
total magnetization: 0.00 Bohr magnetons per cell
ΔH_f (0 K): -46 kJ/mol of formula units
crystal system: tetragonal
total DFT energy (no corrections): -55.00 eV for the cell shown

Lattice parameters (Å, degrees): 2.827 2.827 9.116 90.00 90.00 90.00
Space group I4mm (No. 107)
Asymmetric unit:
Mn 0.000 0.000 0.000 (multiplicity 2)
Re 0.000 0.000 0.695 (multiplicity 2)
P 0.000 0.000 0.364 (multiplicity 2)



# 3
Material: Mn2ReP
Method: DFT, GGA-PBE
State: relaxed

Output
total magnetization: 1.98 Bohr magnetons per cell
ΔH_f (0 K): -27 kJ/mol of formula units
crystal system: orthorhombic
total DFT energy (no corrections): -36.48 eV for the cell shown

Lattice parameters (Å, degrees): 2.932 4.039 4.149 90.00 90.00 90.00
Space group Pmmm (No. 47)
Asymmetric unit:
Mn 0.000 0.000 0.000 (multiplicity 1)
Mn 0.500 0.500 0.000 (multiplicity 1)
Re 0.000 0.500 0.500 (multiplicity 1)
P 0.500 0.000 0.500 (multiplicity 1)



# 4
Material: Mn2ReP
Method: DFT, GGA-PBE
State: relaxed

Output
total magnetization: 8.92 Bohr magnetons per cell
ΔH_f (0 K): 8 kJ/mol of formula units
crystal system: orthorhombic
total DFT energy (no corrections): -72.23 eV for the cell shown

Lattice parameters (Å, degrees): 4.960 7.442 2.794 90.00 90.00 90.00
Space group Cmmm (No. 65)
Asymmetric unit:
Mn 0.250 0.250 0.000 (multiplicity 4)
Re 0.000 0.000 0.500 (multiplicity 2)
P 0.000 0.500 0.500 (multiplicity 2)



# 5
Material: Mn2ReP
Method: DFT, GGA-PBE
State: relaxed

Output
total magnetization: 7.64 Bohr magnetons per cell
ΔH_f (0 K): -77 kJ/mol of formula units
crystal system: orthorhombic
total DFT energy (no corrections): -74.00 eV for the cell shown

Lattice parameters (Å, degrees): 3.175 2.978 10.911 90.00 90.00 90.00
Space group Amm2 (No. 38)
Asymmetric unit:
Mn 0.000 0.000 0.000 (multiplicity 2)
Mn 0.500 0.000 0.357 (multiplicity 2)
Re 0.000 0.000 0.735 (multiplicity 2)
P 0.500 0.000 0.572 (multiplicity 2)



# 6
Material: MnRe3P
Method: DFT, GGA-PBE
State: relaxed

Output
total magnetization: 0.00 Bohr magnetons per cell
ΔH_f (0 K): 867 kJ/mol of formula units
crystal system: cubic
total DFT energy (no corrections): -42.94 eV for the cell shown

Lattice parameters (Å, degrees): 4.426 4.426 4.426 90.00 90.00 90.00
Space group Pm-3m (No. 221)
Asymmetric unit:
Mn 0.000 0.000 0.000 (multiplicity 1)
Re 0.000 0.000 0.500 (multiplicity 3)
P 0.500 0.500 0.500 (multiplicity 1)



# 7
Material: Mn2ReP
Method: DFT, GGA-PBE
State: relaxed

Output
total magnetization: 2.00 Bohr magnetons per cell
ΔH_f (0 K): -35 kJ/mol of formula units
crystal system: tetragonal
total DFT energy (no corrections): -36.56 eV for the cell shown

Lattice parameters (Å, degrees): 2.874 2.874 5.872 90.00 90.00 90.00
Space group P4mm (No. 99)
Asymmetric unit:
Mn 0.000 0.000 0.000 (multiplicity 1)
Mn 0.500 0.500 0.258 (multiplicity 1)
Re 0.500 0.500 0.726 (multiplicity 1)
P 0.000 0.000 0.458 (multiplicity 1)



# 8
Material: MnReP
Method: DFT, GGA-PBE
State: relaxed

Output
total magnetization: 0.00 Bohr magnetons per cell
ΔH_f (0 K): -26 kJ/mol of formula units
crystal system: hexagonal
total DFT energy (no corrections): -27.30 eV for the cell shown

Lattice parameters (Å, degrees): 3.9403 3.9403 2.7448 90.00 90.00 120.00
Space group P-6m2 (No. 187)
Asymmetric unit:
Mn 0.0000 0.0000 0.0000 (multiplicity 1)
Re 0.3333 0.6667 0.5000 (multiplicity 1)
P 0.6667 0.3333 0.0000 (multiplicity 1)